La3Pm4Nd3, relaxed, DFT GGA-PBE; spin magnetization = 0.00 μB/f.u.; calculated formation energy = 92 meV per atom; DOS at the Fermi energy = 13.25 states/eV/f.u.; DFT total energy = -4.7173 eV per atom
1.0
3.804 0.000 0.000
0.000 9.785 -0.028
0.000 0.058 9.784
Nd Pm La
3 4 3
direct
0.500 0.328 0.327 Nd
0.500 0.673 0.672 Nd
0.500 0.828 0.172 Nd
0.000 0.125 0.128 Pm
0.000 0.872 0.875 Pm
0.000 0.375 0.625 Pm
0.000 0.626 0.374 Pm
0.000 0.999 0.498 La
0.000 0.502 0.001 La
0.500 0.173 0.827 La


CrFeMo, relaxed, DFT GGA-PBE; spin magnetization = 0.58 μB/f.u.; calculated formation energy = 180 meV per atom; DOS at the Fermi energy = 4.12 states/eV/f.u.; ΔE to the lowest computed polymorph = 0.1737 eV per atom; DFT total energy = -9.4587 eV per atom
1.0
5.854 0.007 0.000
4.674 3.525 0.000
-5.264 -1.766 1.855
Cr Fe Mo
1 1 1
direct
0.981 0.981 0.000 Cr
0.348 0.348 0.000 Fe
0.671 0.671 0.000 Mo


NaLi2Ca2, relaxed, DFT GGA-PBE; spin magnetization = 0.00 μB/f.u.; calculated formation energy = 131 meV per atom; DOS at the Fermi energy = 3.86 states/eV/f.u.; ΔE to the lowest computed polymorph = 0.0755 eV per atom; DFT total energy = -1.6986 eV per atom
1.0
4.478 0.000 0.000
-2.239 3.878 0.000
0.000 0.000 19.951
Ca Li Na
4 4 2
direct
0.000 0.000 0.889 Ca
0.000 0.000 0.611 Ca
0.000 0.000 0.111 Ca
0.000 0.000 0.389 Ca
0.333 0.667 0.003 Li
0.667 0.333 0.503 Li
0.667 0.333 0.997 Li
0.333 0.667 0.497 Li
0.667 0.333 0.750 Na
0.333 0.667 0.250 Na


Mn2FeRh, relaxed, DFT GGA-PBE; spin magnetization = 1.75 μB/f.u.; calculated formation energy = -60 meV per atom; DOS at the Fermi energy = 4.71 states/eV/f.u.; ΔE to the lowest computed polymorph = 0.0000 eV per atom; DFT total energy = -8.5980 eV per atom
1.0
4.539 0.033 0.000
1.553 4.265 0.000
-3.046 -2.149 2.590
Mn Fe Rh
2 1 1
direct
0.000 0.000 0.000 Mn
0.250 0.750 0.500 Mn
0.750 0.250 0.500 Fe
0.500 0.500 0.000 Rh